# Ga3MoF PBE with a Hubbard U optimized geometry
# Calculated total energy (eV per atom): -3.2972
# Distance to the lowest polymorph of the same formula (kJ/mol of formula units): 151
# SG: Pm-3m
# N(E_F) (states/eV/f.u.): 3.4
data_Ga3MoF
_chemical_formula_sum 'Ga3 Mo1 F1'
_cell_length_a 5.0926
_cell_length_b 5.0926
_cell_length_c 5.0926
_cell_angle_alpha 90.00
_cell_angle_beta 90.00
_cell_angle_gamma 90.00
_symmetry_space_group_name_H-M 'P 1'
_symmetry_Int_Tables_number 1
_symmetry_space_group_name_Hall 'P 1'
loop_
_atom_site_label
_atom_site_type_symbol
_atom_site_fract_x
_atom_site_fract_y
_atom_site_fract_z
Ga1 Ga 0.0000 0.5000 0.0000
Ga2 Ga 0.5000 0.0000 0.0000
Ga3 Ga 0.0000 0.0000 0.5000
F1 F 0.5000 0.5000 0.5000
Mo1 Mo 0.0000 0.0000 0.0000